Entry 1:
GGA-PBE PmPr6Mg, optimized geometry; energy relative to the lowest polymorph listed for this composition = 0.0 meV per atom; V = 34.300 Å³/atom; N(E_F) = 1.194 states/eV/atom; SG = C2/m (12); magnetization = 0.00 μB per formula unit
1.0
6.0643 -0.9887 1.4992
-1.5348 5.9496 1.4989
0.2705 0.2965 8.1183
Pm Pr Mg
1 6 1
Cartesian
2.2647 2.4804 1.4990
3.5510 3.8891 6.2463
3.7892 0.3328 7.2376
-0.0124 3.8041 7.2376
1.0108 4.9246 3.8788
1.2491 1.3683 4.8701
4.8125 1.4533 3.8788
0.0000 0.0000 0.0000



Entry 2:
GGA-PBE PmPrMg, optimized geometry; energy relative to the lowest polymorph listed for this composition = 80.2 meV per atom; V = 31.284 Å³/atom; N(E_F) = 1.166 states/eV/atom; SG = P3m1 (156); magnetization = 0.00 μB per formula unit
1.0
3.4789 0.0000 0.0000
0.0000 5.5812 0.0000
0.0000 -2.7906 4.8335
Pr Mg Pm
1 1 1
Cartesian
1.3207 0.0000 3.2223
2.3420 2.7906 1.6112
3.2952 0.0000 0.0000



Entry 3:
GGA-PBE PmPrMg, optimized geometry; energy relative to the lowest polymorph listed for this composition = 2.1 meV per atom; V = 31.669 Å³/atom; N(E_F) = 1.377 states/eV/atom; SG = I4mm (107); magnetization = 0.00 μB per formula unit
1.0
-0.7814 0.9421 3.5866
-0.6830 -3.6392 0.8071
7.0945 0.5108 -0.5907
Pr Mg Pm
1 1 1
Cartesian
0.1205 -0.0159 0.0304
1.4091 -1.6305 2.7374
4.1005 -0.5399 1.0352



Entry 4:
GGA-PBE Pm4PrMg3, optimized geometry; V = 30.520 Å³/atom; N(E_F) = 1.244 states/eV/atom; SG = Pmmm (47); magnetization = 0.00 μB per formula unit; E = -28.8 eV per cell
1.0
3.8172 0.0000 0.0000
0.0000 5.6264 0.0000
0.0000 0.0000 11.3685
Pr Mg Pm
1 3 4
Cartesian
1.9086 2.8132 0.0000
1.9086 0.0000 2.8616
1.9086 2.8132 5.6842
1.9086 0.0000 8.5069
0.0000 0.0000 5.6842
0.0000 2.8132 8.3512
0.0000 0.0000 0.0000
0.0000 2.8132 3.0173



Entry 5:
GGA-PBE PmPrMg4, optimized geometry; V = 27.208 Å³/atom; N(E_F) = 0.900 states/eV/atom; SG = F-43m (216); magnetization = 0.00 μB per formula unit; E = -16.6 eV per cell
1.0
6.1346 0.0000 0.0000
3.0673 5.3127 0.0000
3.0673 1.7709 5.0089
Pr Mg Pm
1 4 1
Cartesian
0.0000 0.0000 0.0000
6.1346 3.5418 0.6271
6.1346 1.7719 3.1302
7.6674 4.4268 3.1302
4.6018 4.4268 3.1302
3.0673 1.7709 1.2522



Entry 6:
GGA-PBE PmPr2Mg2, optimized geometry; energy relative to the lowest polymorph listed for this composition = 0.0 meV per atom; V = 31.034 Å³/atom; N(E_F) = 1.096 states/eV/atom; SG = P2_1/m (11); magnetization = 0.00 μB per formula unit
1.0
3.8512 0.0000 -0.5175
0.0000 5.5884 0.0000
-0.0335 0.0000 14.4242
Pm Pr Mg
2 4 4
Cartesian
3.2504 4.1913 9.6950
0.5674 1.3971 4.2118
0.1713 4.1913 1.2737
3.6465 1.3971 12.6330
0.8935 4.1913 6.7130
2.9243 1.3971 7.1938
2.4603 4.1913 3.7134
1.3575 1.3971 10.1933
1.6941 4.1913 12.6594
2.1236 1.3971 1.2473



Entry 7:
GGA-PBE Pm2Pr3Mg, optimized geometry; energy relative to the lowest polymorph listed for this composition = 0.0 meV per atom; V = 33.883 Å³/atom; N(E_F) = 1.283 states/eV/atom; SG = Cmmm (65); magnetization = 0.00 μB per formula unit
1.0
-3.1229 -2.0564 1.0474
2.0302 -4.5605 -2.9007
3.3295 -0.5236 8.8996
Pm Pr Mg
2 3 1
Cartesian
2.5818 -3.2913 1.2358
2.7780 -1.7928 4.7631
-0.2885 -1.8497 2.7062
-0.5464 -3.3085 -0.9266
2.5254 -5.2908 4.3401
0.0000 0.0000 0.0000



Entry 8:
GGA-PBE Pm3Pr8Mg2, optimized geometry; V = 34.505 Å³/atom; N(E_F) = 1.462 states/eV/atom; SG = P-1 (2); magnetization = 0.00 μB per formula unit; E = -54.9 eV per cell
1.0
6.4462 -1.6720 3.3968
1.4901 9.4220 2.1501
1.6289 -1.7849 7.7633
Pm Pr Mg
3 8 2
Cartesian
1.5595 3.8186 4.9567
4.7345 7.2236 10.6768
4.8307 -1.2585 2.6334
3.5462 2.0234 2.7226
6.0189 3.9417 10.5875
6.6503 1.3213 4.6112
2.9149 4.6439 8.6989
6.4826 -0.9727 7.3376
3.2616 0.1737 5.7140
6.3036 5.7914 7.5961
3.0826 6.9378 5.9725
4.6849 3.8396 5.5113
4.8802 2.1256 7.7989



Question: Which value of N(E_F) does entry 6 give?
Answer: 1.096 states/eV/atom



Question: Look up the N(E_F) of the sixth one.
Answer: 1.096 states/eV/atom



Question: N(E_F) of number 1 (PmPr6Mg)?
Answer: 1.194 states/eV/atom



Question: The highest V belongs to which entry?
Answer: Pm3Pr8Mg2